Zn5Ag2Rh | GGA-PBE | optimized geometry

Geometry as extended XYZ:
```
8
Lattice="-2.0044 2.0044 7.5151 2.0044 -2.0044 7.5151 2.0044 2.0044 -7.5151" Properties=species:S:1:pos:R:3 pbc="T T T"
Zn 0.0000 0.0000 0.0000
Zn 2.0044 0.0000 1.7627
Zn 2.0044 0.0000 5.7524
Zn 0.0000 2.0044 1.7627
Zn 0.0000 2.0044 5.7524
Ag 0.0000 0.0000 3.8727
Ag 0.0000 0.0000 11.1575
Rh 0.0000 0.0000 7.5151
```

Properties
magnetic moment	0.0	μB/cell
energy relative to the elements	-4.11	kcal/mol of atoms
E	-2.61	eV per atom
SG	I4/mmm (139)

=====

ZnAgRh2 | GGA-PBE | optimized geometry

Geometry as extended XYZ:
```
4
Lattice="1.4383 -2.3265 0.0000 1.4383 2.3265 0.0000 0.0000 0.0000 9.0488" Properties=species:S:1:pos:R:3 pbc="T T T"
Zn 0.0000 0.0000 0.0000
Ag 0.0000 0.0000 4.5244
Rh 1.4383 0.0000 2.1025
Rh 1.4383 0.0000 6.9463
```

Properties
magnetic moment	0.1	μB/cell
energy relative to the elements	0.88	kcal/mol of atoms
E	-4.67	eV per atom
SG	Cmmm (65)

=====

Zn2AgRh | GGA-PBE | optimized geometry

Geometry as extended XYZ:
```
4
Lattice="1.4065 0.8121 9.0403 -1.4065 0.8121 9.0403 0.0000 -1.6241 9.0403" Properties=species:S:1:pos:R:3 pbc="T T T"
Zn 0.0000 0.0000 0.0000
Zn 0.0000 0.0000 6.6720
Ag 0.0000 0.0000 13.4187
Rh 0.0000 0.0000 20.0866
```

Properties
magnetic moment	0.3	μB/cell
energy relative to the elements	-0.06	kcal/mol of atoms
E	-3.19	eV per atom
SG	R3m (160)

=====

Zn2AgRh | GGA-PBE | optimized geometry

Geometry as extended XYZ:
```
8
Lattice="-3.4514 3.4514 2.7593 3.4514 -3.4514 2.7593 3.4514 3.4514 -2.7593" Properties=species:S:1:pos:R:3 pbc="T T T"
Zn 5.1771 1.6504 -0.6898
Zn 1.6504 1.7257 0.6898
Zn -1.7257 1.8010 2.0695
Zn 1.8010 1.7257 3.4491
Ag 3.4514 0.0000 1.3796
Ag 0.0000 0.0000 2.7593
Rh 0.0000 0.0000 0.0000
Rh 0.0000 3.4514 1.3796
```

Properties
magnetic moment	0.0	μB/cell
energy relative to the elements	1.83	kcal/mol of atoms
E	-3.11	eV per atom
SG	I-42d (122)

=====

ZnAgRh2 | GGA-PBE | optimized geometry

Geometry as extended XYZ:
```
4
Lattice="2.8089 -3.7560 0.0000 2.8089 3.7560 0.0000 0.0000 0.0000 2.8374" Properties=species:S:1:pos:R:3 pbc="T T T"
Zn 0.0000 0.0000 0.0000
Ag 2.8089 0.0000 0.0000
Rh 1.4044 1.8780 1.4187
Rh 1.4044 -1.8780 1.4187
```

Properties
magnetic moment	0.0	μB/cell
energy relative to the elements	1.48	kcal/mol of atoms
E	-4.64	eV per atom
SG	Cmmm (65)

=====

ZnAgRh4 | GGA-PBE | optimized geometry

Geometry as extended XYZ:
```
6
Lattice="0.0000 3.6347 3.6347 3.6347 0.0000 3.6347 3.6347 3.6347 0.0000" Properties=species:S:1:pos:R:3 pbc="T T T"
Zn 0.0000 0.0000 0.0000
Ag 1.8174 1.8174 1.8174
Rh 4.5445 2.7249 2.7249
Rh 2.7249 4.5445 2.7249
Rh 2.7249 2.7249 4.5445
Rh 4.5445 4.5445 4.5445
```

Properties
magnetic moment	1.6	μB/cell
energy relative to the elements	6.39	kcal/mol of atoms
E	-5.31	eV per atom
SG	F-43m (216)

=====

Zn2AgRh | GGA-PBE | optimized geometry

Geometry as extended XYZ:
```
4
Lattice="2.8861 0.0000 0.0000 0.0000 3.8792 0.0000 0.0000 0.0000 5.4391" Properties=species:S:1:pos:R:3 pbc="T T T"
Zn 0.0000 0.0000 0.0000
Zn 1.4431 1.9396 1.5356
Ag 0.0000 0.0000 2.7839
Rh 1.4431 1.9396 4.3893
```

Properties
magnetic moment	0.0	μB/cell
energy relative to the elements	-2.66	kcal/mol of atoms
E	-3.30	eV per atom
SG	Pmm2 (25)

=====

ZnAgRh2 | GGA-PBE | optimized geometry

Geometry as extended XYZ:
```
4
Lattice="2.7905 0.0000 0.0000 0.0000 2.7905 0.0000 0.0000 0.0000 7.7085" Properties=species:S:1:pos:R:3 pbc="T T T"
Zn 0.0000 0.0000 0.0000
Ag 1.3952 1.3952 2.0156
Rh 0.0000 0.0000 4.1339
Rh 1.3952 1.3952 5.9240
```

Properties
magnetic moment	0.0	μB/cell
energy relative to the elements	-0.80	kcal/mol of atoms
E	-4.74	eV per atom
SG	P4mm (99)

=====

Zn4AgRh | GGA-PBE | optimized geometry

Geometry as extended XYZ:
```
6
Lattice="2.1450 -3.6876 0.0000 2.1450 3.6876 0.0000 -0.0297 0.0000 5.6184" Properties=species:S:1:pos:R:3 pbc="T T T"
Zn 2.1184 2.4575 4.3071
Zn 2.1419 2.4575 1.3113
Zn 2.1184 -2.4575 4.3071
Zn 2.1419 -2.4575 1.3113
Ag 2.1301 0.0000 2.8092
Rh 2.1450 0.0000 0.0000
```

Properties
magnetic moment	0.0	μB/cell
energy relative to the elements	-3.71	kcal/mol of atoms
E	-2.71	eV per atom
energy relative to the lowest polymorph listed for this composition	5	kJ/mol of formula units
SG	C2/m (12)

=====

ZnAgRh2 | GGA-PBE | optimized geometry

Geometry as extended XYZ:
```
4
Lattice="-1.4430 2.3021 4.5415 1.4430 -2.3021 4.5415 1.4430 2.3021 -4.5415" Properties=species:S:1:pos:R:3 pbc="T T T"
Zn 0.0000 0.0000 0.0000
Ag 1.4430 0.0000 2.2638
Rh 0.0000 0.0000 4.7150
Rh 0.0000 2.3021 2.3752
```

Properties
magnetic moment	0.0	μB/cell
energy relative to the elements	1.16	kcal/mol of atoms
E	-4.66	eV per atom
SG	Imm2 (44)

=====

Zn2AgRh | GGA-PBE | optimized geometry

Geometry as extended XYZ:
```
4
Lattice="-1.3577 2.3902 5.1468 1.3577 -2.3902 5.1468 1.3577 2.3902 -5.1468" Properties=species:S:1:pos:R:3 pbc="T T T"
Zn 0.0000 0.0000 2.5038
Zn 0.0000 0.0000 7.7897
Ag 0.0000 0.0000 5.1468
Rh 0.0000 0.0000 0.0000
```

Properties
magnetic moment	0.4	μB/cell
energy relative to the elements	5.96	kcal/mol of atoms
E	-2.93	eV per atom
SG	Immm (71)

=====

ZnAgRh2 | GGA-PBE | optimized geometry

Geometry as extended XYZ:
```
4
Lattice="-1.9786 1.9786 3.8348 1.9786 -1.9786 3.8348 1.9786 1.9786 -3.8348" Properties=species:S:1:pos:R:3 pbc="T T T"
Zn 0.0000 0.0000 0.0000
Ag 1.9786 0.0000 1.9174
Rh 0.0000 0.0000 3.8348
Rh 0.0000 1.9786 1.9174
```

Properties
magnetic moment	1.0	μB/cell
energy relative to the elements	0.67	kcal/mol of atoms
E	-4.68	eV per atom
SG	I-4m2 (119)

=====

> Among the records above, which one has the highest E?

Zn5Ag2Rh